Below is SrLiTlCl6 after structural relaxation, with properties calculated at the GGA-PBE level. Values from VASP.

Cell and atoms, written as Quantum ESPRESSO input:
```
&SYSTEM
  ibrav = 0, nat = 18, ntyp = 4
/
ATOMIC_SPECIES
Sr 87.62 Sr.upf
Li 6.94 Li.upf
Tl 204.38 Tl.upf
Cl 35.45 Cl.upf
ATOMIC_POSITIONS angstrom
Sr 0.000 0.000 0.000
Sr 3.232 3.232 6.103
Li 0.000 0.000 8.142
Li 3.232 3.232 2.039
Tl 0.000 0.000 4.110
Tl 3.232 3.232 10.213
Cl 1.172 1.172 6.169
Cl 1.310 1.310 2.250
Cl 1.340 1.340 10.042
Cl 1.891 4.572 3.939
Cl 1.922 4.541 8.353
Cl 2.059 4.404 0.066
Cl 4.404 2.059 0.066
Cl 4.541 1.922 8.353
Cl 4.572 1.891 3.939
Cl 5.123 5.123 10.042
Cl 5.153 5.153 2.250
Cl 5.291 5.291 6.169
CELL_PARAMETERS angstrom
6.463 0.000 0.000
0.000 6.463 0.000
0.000 0.000 12.206
```

Electronic total energy   -3.38 eV per atom
Magnetic moment   0.000 μB per atom
Energy relative to the elements, uncorrected   -1.486 eV/atom
Space-group type   P4_2nm